ReIN: relaxed, GGA-PBE.

* uncorrected formation energy: 0.204 eV/atom
* raw total energy: -7.237 eV/atom
* energy above the most stable polymorph in this dataset: 52 meV/atom

Cell and atoms, written as extended XYZ:
```
6
Lattice="4.399 0.003 0.000 -0.993 4.644 -0.007 -0.732 -1.470 9.353" Properties=species:S:1:pos:R:3 pbc="T T T"
N 2.655 4.166 2.746
Re 2.340 2.545 3.583
Re 3.748 1.187 2.104
I 2.713 1.784 6.060
N 0.731 2.046 3.054
I 1.701 0.907 0.232
```

=====

SrIr: relaxed, GGA-PBE.

* raw total energy: -4.646 eV/atom

Cell and atoms, written as extended XYZ:
```
16
Lattice="9.072 0.000 0.000 0.000 9.072 0.000 0.000 0.000 9.072" Properties=species:S:1:pos:R:3 pbc="T T T"
Ir 0.927 8.146 0.927
Sr 2.696 2.696 6.376
Sr 6.376 2.696 2.696
Sr 6.376 6.376 6.376
Sr 1.840 1.840 1.840
Ir 5.463 5.463 3.610
Ir 0.927 0.927 8.146
Sr 7.232 7.232 1.840
Ir 3.610 5.463 5.463
Ir 8.146 8.146 8.146
Sr 2.696 6.376 2.696
Sr 7.232 1.840 7.232
Ir 3.610 3.610 3.610
Ir 8.146 0.927 0.927
Ir 5.463 3.610 5.463
Sr 1.840 7.232 7.232
```

=====

Pr2Dy7Th2: relaxed, GGA-PBE.

* raw total energy: -4.962 eV/atom

Cell and atoms, written as extended XYZ:
```
11
Lattice="5.841 1.096 1.581 0.521 7.922 1.283 0.521 -1.581 7.868" Properties=species:S:1:pos:R:3 pbc="T T T"
Dy 5.564 7.647 5.739
Dy 1.318 -0.210 4.993
Dy 4.161 5.415 7.815
Th 5.177 3.477 5.017
Dy 0.000 0.000 0.000
Dy 1.318 4.749 1.557
Th 1.706 3.960 5.715
Pr 3.441 6.437 3.482
Dy 5.564 2.688 9.175
Dy 2.721 2.022 2.917
Pr 3.441 1.000 7.250
```

=====

SrCe2TaO8: relaxed, GGA-PBE.

* uncorrected formation energy: -2.918 eV/atom
* raw total energy: -8.341 eV/atom

Cell and atoms, written as extended XYZ:
```
12
Lattice="-3.494 3.114 -2.104 -3.548 -1.573 3.356 1.938 5.208 4.490" Properties=species:S:1:pos:R:3 pbc="T T T"
O -1.337 3.116 2.647
Ce -3.037 2.072 1.748
O -3.117 3.277 -0.148
O -1.969 0.435 0.346
O -3.135 6.314 5.397
Ce -2.067 4.677 3.994
O -3.767 3.633 3.096
O -3.138 0.378 3.224
Sr 0.969 2.604 2.245
O -1.986 3.471 5.891
O -1.966 6.371 2.519
Ta 0.000 0.000 0.000
```

=====

Number 1: magnetic moment 0.000 μB per cell. Number 2: magnetic moment 8.085 μB per cell. Number 3: magnetic moment 0.000 μB per cell. Number 4: magnetic moment 0.946 μB per cell.